A relaxed structure of Co3TeO8. Source: Alexandria, functional PBE+U.

Properties
The value obtained for the total DFT energy (no corrections) is -5.652 eV per atom.

Cell lengths 6.035, 6.123, 10.158 Å; angles 73.63, 88.92, 60.55 degrees
Sites, in units of the cell vectors:
Co (0.000, 0.000, 0.000)
Co (0.000, 0.000, 0.500)
Co (0.245, 0.000, 0.249)
Co (0.500, 0.000, 0.000)
Co (0.500, 0.000, 0.500)
Co (0.755, 0.000, 0.751)
Te (0.258, 0.003, 0.750)
Te (0.742, 0.997, 0.250)
O (0.086, 0.811, 0.362)
O (0.126, 0.800, 0.872)
O (0.173, 0.160, 0.393)
O (0.178, 0.211, 0.878)
O (0.327, 0.840, 0.106)
O (0.382, 0.791, 0.624)
O (0.386, 0.207, 0.622)
O (0.398, 0.190, 0.132)
O (0.602, 0.810, 0.868)
O (0.614, 0.793, 0.378)
O (0.618, 0.209, 0.376)
O (0.673, 0.160, 0.894)
O (0.822, 0.789, 0.122)
O (0.827, 0.840, 0.607)
O (0.874, 0.200, 0.128)
O (0.914, 0.189, 0.638)